Entry 1:
14
Lattice="2.141 -7.331 0.000 2.141 7.331 0.000 0.000 0.000 14.441" Properties=species:S:1:pos:R:3 comment="Ac2PuSe4 PBE relaxed" raw_formation_energy_mev_per_atom=-1750 crystal_system=orthorhombic n_ef_per_ev_cell=32.64 volume_a3_per_cell=453.43 m_tot_mub_per_cell=11.4 mass_density_g_cm3=7.43 polymorph_energy_mev_per_atom=19.4 pbc="T T T"
Ac 2.141 5.387 8.296
Ac 2.141 5.387 13.365
Ac 2.141 -5.387 1.075
Ac 2.141 -5.387 6.145
Pu 2.141 1.815 10.830
Pu 2.141 -1.815 3.610
Se 2.141 7.088 10.830
Se 2.141 4.084 1.824
Se 2.141 4.084 5.396
Se 2.141 0.000 0.000
Se 2.141 0.000 7.220
Se 2.141 -4.084 9.044
Se 2.141 -4.084 12.616
Se 2.141 -7.088 3.610

---

Entry 2:
8
Lattice="6.023 0.000 0.000 0.000 6.023 0.000 0.000 0.000 6.023" Properties=species:S:1:pos:R:3 comment="AcPu3Se4 PBE relaxed" raw_formation_energy_mev_per_atom=-1564 crystal_system=cubic n_ef_per_ev_cell=33.39 volume_a3_per_cell=218.55 m_tot_mub_per_cell=17.5 mass_density_g_cm3=9.69 pbc="T T T"
Ac 0.000 0.000 0.000
Pu 0.000 3.012 3.012
Pu 3.012 0.000 3.012
Pu 3.012 3.012 0.000
Se 0.000 0.000 3.012
Se 0.000 3.012 0.000
Se 3.012 0.000 0.000
Se 3.012 3.012 3.012

---

Entry 3:
10
Lattice="-2.110 2.998 10.556 2.110 -2.998 10.556 2.110 2.998 -10.556" Properties=species:S:1:pos:R:3 comment="AcPu4Se5 PBE relaxed" raw_formation_energy_mev_per_atom=-1573 crystal_system=orthorhombic n_ef_per_ev_cell=39.88 volume_a3_per_cell=267.13 m_tot_mub_per_cell=23.3 mass_density_g_cm3=9.93 pbc="T T T"
Ac 0.000 0.000 0.000
Pu 0.000 0.000 4.305
Pu 0.000 0.000 8.431
Pu 0.000 0.000 12.681
Pu 0.000 0.000 16.807
Se 2.110 0.000 2.289
Se 2.110 0.000 6.365
Se 0.000 2.998 0.000
Se 0.000 2.998 4.191
Se 0.000 2.998 8.267

---

Entry 4:
12
Lattice="7.257 -2.169 0.000 7.257 2.169 0.000 -3.380 0.000 12.283" Properties=species:S:1:pos:R:3 comment="Ac4PuSe7 PBE relaxed" raw_formation_energy_mev_per_atom=-1893 crystal_system=monoclinic n_ef_per_ev_cell=15.79 volume_a3_per_cell=386.77 m_tot_mub_per_cell=5.8 mass_density_g_cm3=7.32 pbc="T T T"
Ac 0.000 0.000 0.000
Ac 0.314 0.000 9.488
Ac 7.346 0.000 4.597
Ac 11.101 0.000 6.885
Pu 10.714 0.000 1.722
Se 1.631 0.000 2.681
Se 1.651 0.000 6.395
Se 5.129 0.000 0.601
Se 5.975 0.000 7.599
Se 5.938 0.000 11.334
Se 9.736 0.000 9.592
Se 12.426 0.000 4.133

---

Entry 5:
4
Lattice="3.723 0.000 0.000 0.000 3.723 0.000 0.000 0.000 7.470" Properties=species:S:1:pos:R:3 comment="AcPuSe2 PBE relaxed" raw_formation_energy_mev_per_atom=-1439 crystal_system=tetragonal n_ef_per_ev_cell=7.07 volume_a3_per_cell=103.54 m_tot_mub_per_cell=6.4 mass_density_g_cm3=10.09 polymorph_energy_mev_per_atom=251.6 pbc="T T T"
Ac 0.000 0.000 0.000
Pu 0.000 0.000 3.735
Se 1.862 1.862 1.961
Se 1.862 1.862 5.509

---

Entry 6:
12
Lattice="4.282 0.000 0.000 -2.141 3.709 0.000 0.000 0.000 27.262" Properties=species:S:1:pos:R:3 comment="AcPuSe2 PBE relaxed" raw_formation_energy_mev_per_atom=-1232 crystal_system=trigonal n_ef_per_ev_cell=33.90 volume_a3_per_cell=432.97 m_tot_mub_per_cell=15.9 mass_density_g_cm3=7.24 polymorph_energy_mev_per_atom=458.4 pbc="T T T"
Ac 0.000 0.000 0.000
Ac 0.000 2.472 18.175
Ac 2.141 1.236 9.087
Pu 0.000 0.000 13.631
Pu 0.000 2.472 4.544
Pu 2.141 1.236 22.718
Se 0.000 0.000 3.001
Se 0.000 0.000 24.262
Se 0.000 2.472 15.174
Se 0.000 2.472 21.175
Se 2.141 1.236 6.087
Se 2.141 1.236 12.088